Entry 1:
# CeEr4S7

A PBEsol-optimized structure of CeEr4S7 (SCAN, Alexandria).

Cell and atoms, written as POSCAR:
```
CeEr4S7
1.0
3.739 0.000 0.000
-1.869 6.349 -0.005
0.000 -2.893 11.085
S Er Ce
7 4 1
Direct
0.956 0.912 0.209 S
0.340 0.680 0.949 S
0.262 0.524 0.655 S
0.658 0.315 0.049 S
0.749 0.497 0.348 S
0.042 0.084 0.785 S
0.497 0.994 0.507 S
0.299 0.599 0.184 Er
0.885 0.771 0.582 Er
0.999 0.999 0.997 Er
0.699 0.399 0.813 Er
0.113 0.226 0.421 Ce
```

Summary:
E_form (uncorrected) (eV/f.u.): -27.60
D(E_F) (states/eV per cell): 3.8
Symmetry: Cm (8)



Entry 2:
# CeF3

A PBEsol-optimized structure of CeF3 (SCAN, Alexandria).

Cell and atoms, written as POSCAR:
```
CeF3
1.0
4.081 0.000 0.000
-2.041 3.534 0.000
0.000 0.000 7.209
Ce F
2 6
Direct
0.667 0.333 0.750 Ce
0.333 0.667 0.250 Ce
0.000 0.000 0.750 F
0.000 0.000 0.250 F
0.667 0.333 0.080 F
0.333 0.667 0.580 F
0.333 0.667 0.920 F
0.667 0.333 0.420 F
```

Summary:
E_form (uncorrected) (eV/f.u.): -17.24
Symmetry: P6_3/mmc (194)



Entry 3:
# CeF3

A PBEsol-optimized structure of CeF3 (SCAN, Alexandria).

Cell and atoms, written as POSCAR:
```
CeF3
1.0
-0.977 -6.278 -3.046
3.172 0.414 6.278
-6.409 -0.592 3.277
Ce F
6 18
Direct
0.000 0.657 0.750 Ce
0.657 0.657 0.250 Ce
0.000 0.343 0.250 Ce
0.657 0.000 0.750 Ce
0.343 0.343 0.750 Ce
0.343 0.000 0.250 Ce
0.333 0.667 0.681 F
0.631 0.689 0.919 F
0.059 0.369 0.919 F
0.311 0.941 0.919 F
0.333 0.667 0.181 F
0.941 0.631 0.081 F
0.667 0.333 0.819 F
0.667 0.333 0.319 F
0.369 0.311 0.081 F
0.631 0.941 0.419 F
0.689 0.631 0.581 F
0.000 0.000 0.250 F
0.311 0.369 0.419 F
0.369 0.059 0.581 F
0.941 0.311 0.581 F
0.000 0.000 0.750 F
0.689 0.059 0.081 F
0.059 0.689 0.419 F
```

Summary:
E_form (uncorrected) (eV/f.u.): -17.37
Symmetry: P-3c1 (165)



Entry 4:
# CeF4

A PBEsol-optimized structure of CeF4 (SCAN, Alexandria).

Cell and atoms, written as POSCAR:
```
CeF4
1.0
8.262 -0.005 0.005
1.408 8.141 0.005
3.734 3.142 6.682
F Ce
24 6
Direct
0.726 0.029 0.651 F
0.318 0.259 0.604 F
0.259 0.318 0.104 F
0.274 0.971 0.349 F
0.404 0.814 0.928 F
0.186 0.596 0.572 F
0.971 0.274 0.849 F
0.814 0.404 0.428 F
0.500 0.000 0.500 F
0.934 0.825 0.456 F
0.825 0.934 0.956 F
0.397 0.603 0.750 F
0.741 0.682 0.896 F
0.596 0.186 0.072 F
0.497 0.739 0.218 F
0.066 0.175 0.544 F
0.603 0.397 0.250 F
0.261 0.503 0.282 F
0.503 0.261 0.782 F
0.682 0.741 0.396 F
0.175 0.066 0.044 F
0.000 0.500 0.000 F
0.029 0.726 0.151 F
0.739 0.497 0.718 F
0.369 0.224 0.329 Ce
0.212 0.788 0.250 Ce
0.631 0.776 0.671 Ce
0.224 0.369 0.829 Ce
0.776 0.631 0.171 Ce
0.788 0.212 0.750 Ce
```

Summary:
E_form (uncorrected) (eV/f.u.): -19.71
D(E_F) (states/eV per cell): 0.0
Symmetry: C2/c (15)



Entry 5:
# K2CeF6

A PBEsol-optimized structure of K2CeF6 (SCAN, Alexandria).

Cell and atoms, written as POSCAR:
```
K2CeF6
1.0
-1.844 -1.270 -2.929
4.040 -5.078 -0.341
-5.412 -0.388 3.576
F K Ce
6 2 1
Direct
0.000 0.000 0.341 F
0.500 0.228 0.228 F
0.500 0.772 0.000 F
0.000 0.659 0.659 F
0.000 0.341 0.000 F
0.500 0.000 0.772 F
0.500 0.667 0.333 K
0.500 0.333 0.667 K
0.000 0.000 0.000 Ce
```

Summary:
E_form (uncorrected) (eV/f.u.): -32.55
D(E_F) (states/eV per cell): 0.0
Symmetry: P-62m (189)



Entry 6:
# Rb2LiCeF6

A PBEsol-optimized structure of Rb2LiCeF6 (SCAN, Alexandria).

Cell and atoms, written as POSCAR:
```
Rb2LiCeF6
1.0
-2.410 5.433 1.523
-5.755 0.322 2.103
-1.041 1.350 5.894
Ce Rb Li F
1 2 1 6
Direct
0.000 0.000 0.000 Ce
0.250 0.250 0.250 Rb
0.750 0.750 0.750 Rb
0.500 0.500 0.500 Li
0.261 0.261 0.739 F
0.739 0.261 0.739 F
0.739 0.739 0.261 F
0.261 0.739 0.261 F
0.739 0.261 0.261 F
0.261 0.739 0.739 F
```

Summary:
E_form (uncorrected) (eV/f.u.): -34.77
Symmetry: Fm-3m (225)



Entry 7:
# CeMoO4F

A PBEsol-optimized structure of CeMoO4F (SCAN, Alexandria).

Cell and atoms, written as POSCAR:
```
CeMoO4F
1.0
6.531 0.000 0.000
0.000 6.796 0.048
0.000 2.614 9.044
O Mo Ce F
16 4 4 4
Direct
0.894 0.424 0.134 O
0.338 0.426 0.129 O
0.139 0.084 0.081 O
0.639 0.416 0.419 O
0.861 0.916 0.919 O
0.662 0.574 0.871 O
0.899 0.630 0.587 O
0.601 0.130 0.087 O
0.394 0.076 0.366 O
0.361 0.584 0.581 O
0.399 0.870 0.913 O
0.101 0.370 0.413 O
0.606 0.924 0.634 O
0.838 0.074 0.371 O
0.106 0.576 0.866 O
0.162 0.926 0.629 O
0.635 0.838 0.833 Mo
0.365 0.162 0.167 Mo
0.865 0.338 0.333 Mo
0.135 0.662 0.667 Mo
0.629 0.775 0.426 Ce
0.871 0.275 0.926 Ce
0.371 0.225 0.574 Ce
0.129 0.725 0.074 Ce
0.615 0.213 0.764 F
0.115 0.287 0.736 F
0.885 0.713 0.264 F
0.385 0.787 0.236 F
```

Summary:
E_form (uncorrected) (eV/f.u.): -21.05
D(E_F) (states/eV per cell): 10.6
Symmetry: P2_1/c (14)



Entry 8:
# NaCeTiNbO6F

A PBEsol-optimized structure of NaCeTiNbO6F (SCAN, Alexandria).

Cell and atoms, written as POSCAR:
```
NaCeTiNbO6F
1.0
7.142 0.000 0.000
3.571 6.349 -0.001
3.571 1.901 6.057
Nb Na O Ti F Ce
2 2 12 2 2 2
Direct
0.500 0.000 0.000 Nb
0.500 0.500 0.500 Nb
0.500 0.500 0.000 Na
0.000 0.500 0.000 Na
0.433 0.317 0.817 O
0.170 0.080 0.580 O
0.585 0.064 0.182 O
0.415 0.936 0.818 O
0.169 0.064 0.182 O
0.830 0.920 0.420 O
0.831 0.318 0.436 O
0.585 0.682 0.564 O
0.567 0.683 0.183 O
0.169 0.682 0.564 O
0.831 0.936 0.818 O
0.415 0.318 0.436 O
0.000 0.000 0.500 Ti
0.500 0.000 0.500 Ti
0.870 0.380 0.880 F
0.130 0.620 0.120 F
0.000 0.500 0.500 Ce
0.000 0.000 0.000 Ce
```

Summary:
E_form (uncorrected) (eV/f.u.): -35.29
D(E_F) (states/eV per cell): 1.4
Symmetry: Imma (74)
Polymorph energy (0 for the lowest one) (meV per atom): 3



Entry 9:
# NaCeTiNbO6F

A PBEsol-optimized structure of NaCeTiNbO6F (SCAN, Alexandria).

Cell and atoms, written as POSCAR:
```
NaCeTiNbO6F
1.0
7.294 0.000 0.000
0.000 7.294 0.000
0.000 0.000 10.363
Nb O Ce Ti Na F
4 24 4 4 4 4
Direct
0.500 0.241 0.000 Nb
0.759 0.500 0.250 Nb
0.241 0.500 0.750 Nb
0.500 0.759 0.500 Nb
0.775 0.248 0.324 O
0.556 0.050 0.133 O
0.963 0.037 0.125 O
0.950 0.444 0.117 O
0.248 0.225 0.074 O
0.963 0.963 0.375 O
0.556 0.950 0.367 O
0.752 0.225 0.926 O
0.775 0.752 0.176 O
0.225 0.248 0.676 O
0.950 0.556 0.383 O
0.050 0.556 0.617 O
0.752 0.775 0.574 O
0.050 0.444 0.883 O
0.563 0.563 0.375 O
0.225 0.752 0.824 O
0.437 0.437 0.875 O
0.248 0.775 0.426 O
0.037 0.037 0.875 O
0.437 0.563 0.625 O
0.444 0.950 0.633 O
0.037 0.963 0.625 O
0.563 0.437 0.125 O
0.444 0.050 0.867 O
0.733 0.000 0.750 Ce
0.267 0.000 0.250 Ce
0.000 0.733 0.000 Ce
0.000 0.267 0.500 Ce
0.237 0.000 0.750 Ti
0.000 0.763 0.500 Ti
0.763 0.000 0.250 Ti
0.000 0.237 0.000 Ti
0.720 0.500 0.750 Na
0.280 0.500 0.250 Na
0.500 0.720 0.000 Na
0.500 0.280 0.500 Na
0.738 0.738 0.875 F
0.262 0.738 0.125 F
0.738 0.262 0.625 F
0.262 0.262 0.375 F
```

Summary:
E_form (uncorrected) (eV/f.u.): -35.32
D(E_F) (states/eV per cell): 3.5
Symmetry: P4_122 (91)
Polymorph energy (0 for the lowest one) (meV per atom): 0



Entry 10:
# SrCe2S2F4

A PBEsol-optimized structure of SrCe2S2F4 (SCAN, Alexandria).

Cell and atoms, written as POSCAR:
```
SrCe2S2F4
1.0
3.930 0.000 0.000
0.000 3.930 0.000
-1.965 -1.965 9.779
F Sr Ce S
4 1 2 2
Direct
0.075 0.575 0.150 F
0.425 0.925 0.850 F
0.925 0.425 0.850 F
0.575 0.075 0.150 F
0.500 0.500 0.000 Sr
0.158 0.158 0.316 Ce
0.842 0.842 0.684 Ce
0.302 0.302 0.604 S
0.698 0.698 0.396 S
```

Summary:
E_form (uncorrected) (eV/f.u.): -31.92
D(E_F) (states/eV per cell): 10.9
Symmetry: I4/mmm (139)



Entry 11:
# CeZrF7

A PBEsol-optimized structure of CeZrF7 (SCAN, Alexandria).

Cell and atoms, written as POSCAR:
```
CeZrF7
1.0
-2.347 0.951 5.275
-0.112 -6.169 1.062
7.581 2.218 2.974
Zr F Ce
2 14 2
Direct
0.249 0.690 0.277 Zr
0.749 0.310 0.723 Zr
0.017 0.450 0.269 F
0.491 0.455 0.258 F
0.572 0.945 0.975 F
0.980 0.895 0.291 F
0.757 0.262 0.481 F
0.991 0.545 0.742 F
0.480 0.105 0.709 F
0.475 0.934 0.288 F
0.742 0.356 0.966 F
0.517 0.550 0.731 F
0.242 0.644 0.034 F
0.975 0.066 0.712 F
0.072 0.055 0.025 F
0.257 0.738 0.519 F
0.258 0.842 0.813 Ce
0.758 0.158 0.187 Ce
```

Summary:
E_form (uncorrected) (eV/f.u.): -37.04
Symmetry: P2_1 (4)



Entry 12:
# CeZr2F11

A PBEsol-optimized structure of CeZr2F11 (SCAN, Alexandria).

Cell and atoms, written as POSCAR:
```
CeZr2F11
1.0
-3.726 6.568 -1.834
-0.510 2.039 -8.123
-8.109 -0.583 -2.075
F Zr Ce
22 4 2
Direct
0.865 0.947 0.794 F
0.370 0.719 0.281 F
0.739 0.678 0.048 F
0.635 0.706 0.553 F
0.630 0.281 0.719 F
0.000 0.000 0.000 F
0.761 0.452 0.822 F
0.466 0.952 0.322 F
0.870 0.781 0.219 F
0.135 0.053 0.206 F
0.894 0.447 0.294 F
0.239 0.548 0.178 F
0.606 0.206 0.053 F
0.534 0.048 0.678 F
0.966 0.822 0.452 F
0.261 0.322 0.952 F
0.106 0.553 0.706 F
0.034 0.178 0.548 F
0.500 0.500 0.500 F
0.394 0.794 0.947 F
0.365 0.294 0.447 F
0.130 0.219 0.781 F
0.633 0.681 0.319 Zr
0.133 0.819 0.181 Zr
0.367 0.319 0.681 Zr
0.867 0.181 0.819 Zr
0.250 0.250 0.250 Ce
0.750 0.750 0.750 Ce
```

Summary:
E_form (uncorrected) (eV/f.u.): -57.17
Symmetry: Ibam (72)